# 1
# ZrSi4, relaxed, DFT GGA-PBEsol
# Total energy (eV/cell): -61.7
# Calculated volume (Å³/cell): 203.3
# Formation energy (no corrections) (meV/atom): 246
# Magnetic moment (μB per cell): 0.00
data_ZrSi4
_space_group_name_H-M_alt 'I m -3 m'
_space_group_IT_number 229
_space_group_name_Hall '-I 4 2 3'
_cell_length_a 5.880
_cell_length_b 5.880
_cell_length_c 5.880
_cell_angle_alpha 90.00
_cell_angle_beta 90.00
_cell_angle_gamma 90.00
loop_
_atom_site_label
_atom_site_type_symbol
_atom_site_fract_x
_atom_site_fract_y
_atom_site_fract_z
_atom_site_occupancy
Zr1 Zr 0.000 0.000 0.000 1
Si1 Si 0.250 0.250 0.250 1

# 2
# Zr3Si2, relaxed, DFT GGA-PBEsol
# Total energy (eV/cell): -87.1
# Calculated volume (Å³/cell): 181.5
# Formation energy (no corrections) (meV/atom): -954
# Magnetic moment (μB per cell): 0.00
data_Zr3Si2
_space_group_name_H-M_alt 'P 4/m b m'
_space_group_IT_number 127
_space_group_name_Hall '-P 4 2ab'
_cell_length_a 7.059
_cell_length_b 7.059
_cell_length_c 3.643
_cell_angle_alpha 90.00
_cell_angle_beta 90.00
_cell_angle_gamma 90.00
loop_
_atom_site_label
_atom_site_type_symbol
_atom_site_fract_x
_atom_site_fract_y
_atom_site_fract_z
_atom_site_occupancy
Zr1 Zr 0.000 0.000 0.000 1
Zr2 Zr 0.175 0.325 0.500 1
Si1 Si 0.122 0.622 0.000 1

# 3
# Sm, relaxed, DFT GGA-PBEsol
# Total energy (eV/cell): -20.4
# Calculated volume (Å³/cell): 126.1
# Formation energy (eV/atom): 0.004
# ΔE to the lowest computed polymorph (eV/f.u.): 0.00
# Magnetic moment (μB per cell): 0.00
data_Sm
_space_group_name_H-M_alt 'F m -3 m'
_space_group_IT_number 225
_space_group_name_Hall '-F 4 2 3'
_cell_length_a 5.014
_cell_length_b 5.014
_cell_length_c 5.014
_cell_angle_alpha 90.00
_cell_angle_beta 90.00
_cell_angle_gamma 90.00
loop_
_atom_site_label
_atom_site_type_symbol
_atom_site_fract_x
_atom_site_fract_y
_atom_site_fract_z
_atom_site_occupancy
Sm1 Sm 0.000 0.000 0.000 1

# 4
# Sm, relaxed, DFT GGA-PBEsol
# Total energy (eV/cell): -45.8
# Calculated volume (Å³/cell): 284.6
# Formation energy (eV/atom): 0.000
# ΔE to the lowest computed polymorph (eV/f.u.): 0.00
# Magnetic moment (μB per cell): 0.00
data_Sm
_space_group_name_H-M_alt 'R -3 m'
_space_group_IT_number 166
_space_group_name_Hall '-R 3 2"'
_cell_length_a 3.5727
_cell_length_b 3.5727
_cell_length_c 25.7454
_cell_angle_alpha 90.00
_cell_angle_beta 90.00
_cell_angle_gamma 120.00
loop_
_atom_site_label
_atom_site_type_symbol
_atom_site_fract_x
_atom_site_fract_y
_atom_site_fract_z
_atom_site_occupancy
Sm1 Sm 0.0000 0.0000 0.0000 1
Sm2 Sm 0.0000 0.0000 0.2225 1

# 5
# Sm, relaxed, DFT GGA-PBEsol
# Total energy (eV/cell): -10.1
# Calculated volume (Å³/cell): 63.4
# Formation energy (eV/atom): 0.024
# ΔE to the lowest computed polymorph (eV/f.u.): 0.02
# Magnetic moment (μB per cell): 0.00
data_Sm
_space_group_name_H-M_alt 'P 63/m m c'
_space_group_IT_number 194
_space_group_name_Hall '-P 6c 2c'
_cell_length_a 3.5723
_cell_length_b 3.5723
_cell_length_c 5.7353
_cell_angle_alpha 90.00
_cell_angle_beta 90.00
_cell_angle_gamma 120.00
loop_
_atom_site_label
_atom_site_type_symbol
_atom_site_fract_x
_atom_site_fract_y
_atom_site_fract_z
_atom_site_occupancy
Sm1 Sm 0.3333 0.6667 0.2500 1

# 6
# SmSn2, relaxed, DFT GGA-PBEsol
# Total energy (eV/cell): -62.7
# Calculated volume (Å³/cell): 310.8
# Formation energy (eV/atom): -0.692
# Magnetic moment (μB per cell): 0.00
data_SmSn2
_space_group_name_H-M_alt 'C m m m'
_space_group_IT_number 65
_space_group_name_Hall '-C 2 2'
_cell_length_a 4.407
_cell_length_b 15.744
_cell_length_c 4.479
_cell_angle_alpha 90.00
_cell_angle_beta 90.00
_cell_angle_gamma 90.00
loop_
_atom_site_label
_atom_site_type_symbol
_atom_site_fract_x
_atom_site_fract_y
_atom_site_fract_z
_atom_site_occupancy
Sm1 Sm 0.000 0.145 0.000 1
Sn1 Sn 0.000 0.000 0.500 1
Sn2 Sn 0.000 0.316 0.500 1
Sn3 Sn 0.000 0.500 0.000 1